SmDy6Ho PBE-GGA optimized geometry; formation enthalpy at 0 K = 0.021 eV per atom; V = 31.6 A^3/atom
1.0
5.022 0.000 0.000
0.000 5.022 0.000
0.000 0.000 10.035
Sm Dy Ho
1 6 1
Cartesian
0.000 0.000 5.017
2.511 2.511 0.000
2.511 2.511 5.017
2.511 0.000 2.492
2.511 0.000 7.543
0.000 2.511 2.492
0.000 2.511 7.543
0.000 0.000 0.000